*one*
The following is a DFT calculation (GGA-PBEsol) of crystalline CoPtOF2 at its relaxed geometry.

DOS at the Fermi energy = 7.9 states/eV/cell
density = 7.38 Mg/m³
M_tot = 2.75 μB per cell

a = 3.814 Å, b = 4.264 Å, c = 4.264 Å
α = 90.00°, β = 90.00°, γ = 90.00°
Each line ends with the local moment (μB).
Fractional coordinates of all 5 atoms:
F 0.000 0.500 0.000  0.01
F 0.000 0.000 0.500  0.01
Co 0.500 0.500 0.500  2.24
O 0.500 0.000 0.000  0.18
Pt 0.000 0.000 0.000  0.21

*two*
The following is a DFT calculation (GGA-PBEsol) of crystalline CoPtOF2 at its relaxed geometry.

DOS at the Fermi energy = 7.7 states/eV/cell
density = 9.03 Mg/m³
M_tot = 3.84 μB per cell

a = 3.565 Å, b = 3.985 Å, c = 3.985 Å
α = 90.00°, β = 90.00°, γ = 90.00°
Each line ends with the local moment (μB).
Fractional coordinates of all 5 atoms:
F 0.000 0.500 0.000  0.12
F 0.000 0.000 0.500  0.12
Pt 0.500 0.500 0.500  0.97
Co 0.000 0.000 0.000  2.19
O 0.500 0.000 0.000  0.35

The structure with the greatest stability is *two*.

*one*
The following is a DFT calculation (GGA-PBEsol) of crystalline CoSb3F at its relaxed geometry.

DOS at the Fermi energy = 6.0 states/eV/cell
density = 6.89 Mg/m³
M_tot = 1.57 μB per cell

a = 4.745 Å, b = 4.745 Å, c = 4.745 Å
α = 90.00°, β = 90.00°, γ = 90.00°
Each line ends with the local moment (μB).
Fractional coordinates of all 5 atoms:
F 0.000 0.000 0.000  0.01
Sb 0.500 0.000 0.000  -0.02
Sb 0.000 0.500 0.000  -0.02
Sb 0.000 0.000 0.500  -0.02
Co 0.500 0.500 0.500  1.73

*two*
The following is a DFT calculation (GGA-PBEsol) of crystalline CoSb3F at its relaxed geometry.

DOS at the Fermi energy = 7.9 states/eV/cell
density = 6.61 Mg/m³
M_tot = 0.00 μB per cell

a = 4.812 Å, b = 4.812 Å, c = 4.812 Å
α = 90.00°, β = 90.00°, γ = 90.00°
Fractional coordinates of all 5 atoms:
F 0.500 0.500 0.500
Sb 0.000 0.500 0.000
Sb 0.000 0.000 0.500
Sb 0.500 0.000 0.000
Co 0.000 0.000 0.000

The structure with the greatest stability is *two*.

*one*
The following is a DFT calculation (GGA-PBEsol) of crystalline CoSiF2 at its relaxed geometry.

DOS at the Fermi energy = 7.9 states/eV/cell
density = 4.55 Mg/m³
M_tot = 1.56 μB per cell

a = 4.012 Å, b = 4.012 Å, c = 4.012 Å
α = 60.00°, β = 60.00°, γ = 60.00°
Each line ends with the local moment (μB).
Fractional coordinates of all 4 atoms:
F 0.250 0.250 0.250  0.02
F 0.750 0.750 0.750  0.02
Co 0.500 0.500 0.500  1.66
Si 0.000 0.000 0.000  -0.06

*two*
The following is a DFT calculation (GGA-PBEsol) of crystalline CoSiF2 at its relaxed geometry.

DOS at the Fermi energy = 4.8 states/eV/cell
density = 3.42 Mg/m³
M_tot = 4.68 μB per cell

a = 5.214 Å, b = 5.794 Å, c = 5.214 Å
α = 63.26°, β = 90.00°, γ = 116.74°
Each line ends with the local moment (μB).
Fractional coordinates of all 8 atoms:
F 0.048 0.750 0.875  0.06
F 0.875 0.250 0.702  0.06
F 0.702 0.750 0.375  0.06
F 0.375 0.250 0.048  0.06
Si 0.250 0.500 0.250  -0.04
Si 0.500 0.000 0.500  -0.04
Co 0.000 0.000 0.000  2.32
Co 0.750 0.500 0.750  2.32

The structure with the greatest stability is *two*.

*one*
The following is a DFT calculation (GGA-PBEsol) of crystalline TaCoF2 at its relaxed geometry.

DOS at the Fermi energy = 4.0 states/eV/cell
density = 8.62 Mg/m³
M_tot = 3.98 μB per cell

a = 4.954 Å, b = 5.593 Å, c = 4.954 Å
α = 116.29°, β = 90.00°, γ = 116.29°
Each line ends with the local moment (μB).
Fractional coordinates of all 8 atoms:
Ta 0.250 0.500 0.750  0.03
Ta 0.000 0.000 0.000  0.03
F 0.844 0.250 0.875  0.04
F 0.406 0.250 0.375  0.04
F 0.625 0.750 0.156  0.04
F 0.125 0.750 0.594  0.04
Co 0.750 0.500 0.250  1.95
Co 0.500 0.000 0.500  1.95

*two*
The following is a DFT calculation (GGA-PBEsol) of crystalline TaCoF2 at its relaxed geometry.

DOS at the Fermi energy = 4.4 states/eV/cell
density = 9.47 Mg/m³
M_tot = 2.28 μB per cell

a = 2.800 Å, b = 2.800 Å, c = 7.357 Å
α = 79.03°, β = 79.03°, γ = 60.00°
Each line ends with the local moment (μB).
Fractional coordinates of all 4 atoms:
Ta 0.000 0.000 0.000  0.00
F 0.900 0.900 0.300  0.06
F 0.100 0.100 0.700  0.06
Co 0.500 0.500 0.500  2.16

The structure with the greatest stability is *two*.

*one*
The following is a DFT calculation (GGA-PBEsol) of crystalline Fe5Co3 at its relaxed geometry.

DOS at the Fermi energy = 5.4 states/eV/cell
density = 8.66 Mg/m³
M_tot = 17.91 μB per cell

a = 3.948 Å, b = 3.948 Å, c = 6.264 Å
α = 108.37°, β = 108.37°, γ = 90.00°
Each line ends with the local moment (μB).
Fractional coordinates of all 8 atoms:
Fe 0.124 0.624 0.247  2.48
Fe 0.750 0.750 0.500  2.60
Fe 0.500 0.500 0.000  2.58
Fe 0.250 0.250 0.500  2.60
Fe 0.376 0.876 0.753  2.48
Co 0.626 0.126 0.252  1.74
Co 0.874 0.374 0.748  1.74
Co 0.000 0.000 0.000  1.79

*two*
The following is a DFT calculation (GGA-PBEsol) of crystalline Fe5Co3 at its relaxed geometry.

DOS at the Fermi energy = 7.4 states/eV/cell
density = 8.69 Mg/m³
M_tot = 17.56 μB per cell

a = 2.420 Å, b = 4.620 Å, c = 8.270 Å
α = 104.73°, β = 95.66°, γ = 99.83°
Each line ends with the local moment (μB).
Fractional coordinates of all 8 atoms:
Fe 0.251 0.250 0.999  2.41
Fe 0.626 0.126 0.251  2.47
Fe 0.874 0.374 0.748  2.58
Fe 0.748 0.749 0.999  2.41
Fe 0.126 0.626 0.252  2.47
Co 0.992 0.000 0.500  1.77
Co 0.375 0.875 0.750  1.76
Co 0.508 0.501 0.500  1.77

The structure with the greatest stability is *one*.

*one*
The following is a DFT calculation (GGA-PBEsol) of crystalline Fe5Co3 at its relaxed geometry.

DOS at the Fermi energy = 4.5 states/eV/cell
density = 8.65 Mg/m³
M_tot = 17.99 μB per cell

a = 3.951 Å, b = 4.644 Å, c = 5.591 Å
α = 107.47°, β = 90.00°, γ = 115.18°
Each line ends with the local moment (μB).
Fractional coordinates of all 8 atoms:
Fe 0.750 0.500 0.125  2.58
Fe 0.249 0.497 0.375  2.48
Fe 0.500 0.000 0.750  2.62
Fe 0.751 0.501 0.626  2.58
Fe 0.499 0.999 0.249  2.63
Co 0.252 0.505 0.876  1.74
Co 0.000 0.999 0.000  1.73
Co 0.999 0.999 0.500  1.74

*two*
The following is a DFT calculation (GGA-PBEsol) of crystalline Fe5Co3 at its relaxed geometry.

DOS at the Fermi energy = 5.8 states/eV/cell
density = 8.64 Mg/m³
M_tot = 17.89 μB per cell

a = 2.782 Å, b = 5.585 Å, c = 5.639 Å
α = 90.00°, β = 90.00°, γ = 90.00°
Each line ends with the local moment (μB).
Fractional coordinates of all 8 atoms:
Fe 0.500 0.500 0.248  2.60
Fe 0.500 0.000 0.246  2.60
Fe 0.500 0.500 0.751  2.57
Fe 0.000 0.248 0.503  2.49
Fe 0.000 0.752 0.503  2.49
Co 0.000 0.750 0.001  1.74
Co 0.000 0.250 0.001  1.74
Co 0.500 0.000 0.748  1.76

*three*
The following is a DFT calculation (GGA-PBEsol) of crystalline Fe5Co3 at its relaxed geometry.

DOS at the Fermi energy = 7.1 states/eV/cell
density = 8.68 Mg/m³
M_tot = 17.71 μB per cell

a = 3.957 Å, b = 3.957 Å, c = 6.828 Å
α = 73.16°, β = 73.16°, γ = 60.00°
Each line ends with the local moment (μB).
Fractional coordinates of all 8 atoms:
Fe 0.124 0.124 0.627  2.44
Fe 0.251 0.251 0.247  2.56
Fe 0.749 0.749 0.753  2.56
Fe 0.876 0.876 0.373  2.44
Fe 0.500 0.500 0.500  2.51
Co 0.625 0.625 0.124  1.75
Co 0.375 0.375 0.876  1.75
Co 0.000 0.000 0.000  1.80

*four*
The following is a DFT calculation (GGA-PBEsol) of crystalline Fe5Co3 at its relaxed geometry.

DOS at the Fermi energy = 6.3 states/eV/cell
density = 8.68 Mg/m³
M_tot = 17.80 μB per cell

a = 2.426 Å, b = 3.946 Å, c = 9.144 Å
α = 90.00°, β = 94.73°, γ = 90.00°
Each line ends with the local moment (μB).
Fractional coordinates of all 8 atoms:
Co 0.613 0.500 0.873  1.76
Co 0.011 0.000 0.001  1.75
Co 0.501 0.000 0.501  1.76
Fe 0.250 0.000 0.752  2.58
Fe 0.127 0.500 0.375  2.48
Fe 0.868 0.500 0.625  2.54
Fe 0.754 0.000 0.250  2.49
Fe 0.377 0.500 0.123  2.54

The structure with the greatest stability is *one*.

*one*
The following is a DFT calculation (GGA-PBEsol) of crystalline Fe5Co3 at its relaxed geometry.

DOS at the Fermi energy = 6.0 states/eV/cell
density = 8.69 Mg/m³
M_tot = 17.49 μB per cell

a = 2.790 Å, b = 2.790 Å, c = 11.198 Å
α = 90.00°, β = 90.00°, γ = 90.00°
Each line ends with the local moment (μB).
Fractional coordinates of all 8 atoms:
Co 0.000 0.000 0.998  1.71
Co 0.500 0.500 0.128  1.72
Co 0.500 0.500 0.374  1.71
Fe 0.000 0.000 0.749  2.32
Fe 0.000 0.000 0.499  2.59
Fe 0.500 0.500 0.878  2.55
Fe 0.500 0.500 0.626  2.29
Fe 0.000 0.000 0.248  2.71

*two*
The following is a DFT calculation (GGA-PBEsol) of crystalline Fe5Co3 at its relaxed geometry.

DOS at the Fermi energy = 3.3 states/eV/cell
density = 8.65 Mg/m³
M_tot = 18.13 μB per cell

a = 2.797 Å, b = 3.956 Å, c = 7.915 Å
α = 90.00°, β = 90.00°, γ = 90.00°
Each line ends with the local moment (μB).
Fractional coordinates of all 8 atoms:
Co 0.000 0.000 0.751  1.72
Co 0.000 0.500 0.000  1.73
Co 0.000 0.000 0.249  1.72
Fe 0.500 0.000 0.000  2.75
Fe 0.500 0.000 0.500  2.59
Fe 0.500 0.500 0.250  2.68
Fe 0.500 0.500 0.750  2.68
Fe 0.000 0.500 0.500  2.36

The structure with the greatest stability is *two*.

*one*
The following is a DFT calculation (GGA-PBEsol) of crystalline Fe5Co3 at its relaxed geometry.

DOS at the Fermi energy = 5.3 states/eV/cell
density = 8.66 Mg/m³
M_tot = 17.90 μB per cell

a = 3.940 Å, b = 3.940 Å, c = 6.285 Å
α = 108.26°, β = 108.26°, γ = 90.00°
Each line ends with the local moment (μB).
Fractional coordinates of all 8 atoms:
Co 0.872 0.872 0.744  1.76
Co 0.501 0.001 0.001  1.74
Co 0.001 0.501 0.001  1.74
Fe 0.623 0.623 0.247  2.61
Fe 0.251 0.751 0.503  2.50
Fe 0.377 0.377 0.753  2.56
Fe 0.751 0.251 0.503  2.50
Fe 0.124 0.124 0.248  2.60

*two*
The following is a DFT calculation (GGA-PBEsol) of crystalline Fe5Co3 at its relaxed geometry.

DOS at the Fermi energy = 2.8 states/eV/cell
density = 8.63 Mg/m³
M_tot = 18.27 μB per cell

a = 4.849 Å, b = 4.849 Å, c = 4.849 Å
α = 109.47°, β = 109.47°, γ = 109.47°
Each line ends with the local moment (μB).
Fractional coordinates of all 8 atoms:
Fe 0.500 0.000 0.000  2.69
Fe 0.500 0.500 0.500  2.69
Fe 0.000 0.500 0.000  2.69
Fe 0.000 0.000 0.500  2.69
Fe 0.000 0.000 0.000  2.41
Co 0.500 0.500 0.000  1.73
Co 0.500 0.000 0.500  1.73
Co 0.000 0.500 0.500  1.73

The structure with the greatest stability is *two*.